[1]
Density functional theory data (SCAN) for a crystal of Sc2CdCu relaxed with PBEsol.

D(E_F) (states/eV/f.u.): 3.54
V (A^3/atom): 19.11
Formation energy (eV/atom): -0.221
Energy (eV per cell): -74.97
Mass density (g cm⁻³): 5.78

Cell: 3.210 4.763 5.766 Å, 114.39 106.16 90.00°
Sites, in units of the cell vectors:
Sc1 0.755 0.255 0.510
Sc2 0.965 0.965 0.929
Cu1 0.246 0.746 0.492
Cd1 0.534 0.534 0.069

=====

[2]
Density functional theory data (SCAN) for a crystal of AgSe3 relaxed with PBEsol.

D(E_F) (states/eV/f.u.): 1.43
V (A^3/atom): 20.76
Energy relative to the elements, uncorrected (kcal/mol of atoms): 3.64
Energy (eV per cell): -90.97
Mass density (g cm⁻³): 6.89

Cell: 2.761 3.879 7.754 Å, 90.00 90.00 90.00°
Sites, in units of the cell vectors:
Se1 0.000 0.500 0.770
Se2 0.000 0.000 0.500
Ag1 0.000 0.000 0.000
Se3 0.000 0.500 0.230

=====

[3]
Density functional theory data (SCAN) for a crystal of ErCu3S3 relaxed with PBEsol.

D(E_F) (states/eV/f.u.): 0.00
V (A^3/atom): 16.50
Energy relative to the elements, uncorrected (kcal/mol of atoms): -22.67
Energy (eV per cell): -263.41
Mass density (g cm⁻³): 6.53

Cell: 6.212 6.553 6.553 Å, 120.00 90.00 90.00°
Sites, in units of the cell vectors:
S1 0.748 0.673 0.673
Er1 0.500 0.333 0.667
Cu1 0.132 0.343 0.000
S2 0.252 0.673 0.000
Cu2 0.132 0.000 0.343
S3 0.252 0.000 0.673
S4 0.252 0.327 0.327
Cu3 0.868 0.657 0.000
S5 0.748 0.327 0.000
Er2 0.500 0.667 0.333
Cu4 0.868 0.000 0.657
Cu5 0.868 0.343 0.343
S6 0.748 0.000 0.327
Cu6 0.132 0.657 0.657

=====

[4]
Density functional theory data (SCAN) for a crystal of Li4Mn3OF8 relaxed with PBEsol.

V (A^3/atom): 9.92
Energy relative to the elements, uncorrected (kcal/mol of atoms): -65.52
Energy (eV per cell): -144.33
Mass density (g cm⁻³): 3.77

Cell: 2.922 5.050 11.487 Å, 101.50 90.00 106.81°
Sites, in units of the cell vectors:
F1 0.098 0.196 0.722
Li1 0.005 0.009 0.993
Mn1 0.438 0.875 0.709
Li2 0.137 0.275 0.558
F2 0.910 0.820 0.291
F3 0.195 0.391 0.406
F4 0.798 0.595 0.606
Mn2 0.758 0.517 0.119
O1 0.130 0.261 0.164
F5 0.873 0.745 0.833
F6 0.627 0.253 0.938
F7 0.374 0.748 0.038
Li3 0.858 0.715 0.452
F8 0.493 0.987 0.519
Li4 0.232 0.464 0.873
Mn3 0.574 0.149 0.280

=====

[5]
Density functional theory data (SCAN) for a crystal of KCu2Sn2 relaxed with PBEsol.

D(E_F) (states/eV/f.u.): 2.32
V (A^3/atom): 22.69
Formation energy (eV/atom): -0.051
Energy (eV per cell): -110.83
Mass density (g cm⁻³): 5.91

Cell: 4.544 4.544 6.364 Å, 110.92 110.92 90.00°
Sites, in units of the cell vectors:
Sn1 0.637 0.637 0.274
Cu1 0.250 0.750 0.500
Sn2 0.363 0.363 0.726
Cu2 0.750 0.250 0.500
K1 0.000 0.000 0.000

=====

[6]
Density functional theory data (SCAN) for a crystal of Ba2FeMoO6 relaxed with PBEsol.

D(E_F) (states/eV/f.u.): 1.70
V (A^3/atom): 12.97
Energy relative to the elements, uncorrected (kcal/mol of atoms): -59.14
Energy (eV per cell): -195.15
Mass density (g cm⁻³): 6.69

Cell: 5.683 5.682 5.682 Å, 60.01 60.00 60.00°
Sites, in units of the cell vectors:
O1 0.258 0.742 0.742
O2 0.742 0.258 0.258
Mo1 0.500 0.500 0.500
Fe1 0.000 0.000 0.000
O3 0.258 0.258 0.742
O4 0.742 0.258 0.742
Ba1 0.750 0.750 0.750
O5 0.742 0.742 0.258
Ba2 0.250 0.250 0.250
O6 0.258 0.742 0.258

=====

[7]
Density functional theory data (SCAN) for a crystal of ZrAs2Br relaxed with PBEsol.

D(E_F) (states/eV/f.u.): 1.94
Distance to the lowest polymorph of the same formula (meV/atom): 716
V (A^3/atom): 19.57
Energy relative to the elements, uncorrected (kcal/mol of atoms): 0.00
Energy (eV per cell): -90.54
Mass density (g cm⁻³): 6.81

Cell: 4.079 4.079 5.519 Å, 111.68 111.68 90.00°
Sites, in units of the cell vectors:
Zr1 0.250 0.750 0.500
As1 0.750 0.250 0.500
Br1 0.500 0.500 0.000
As2 0.000 0.000 0.000

=====

[8]
Density functional theory data (SCAN) for a crystal of CrCuCl relaxed with PBEsol.

D(E_F) (states/eV/f.u.): 2.59
Distance to the lowest polymorph of the same formula (meV/atom): 0
V (A^3/atom): 15.90
Energy relative to the elements, uncorrected (kcal/mol of atoms): -1.23
Energy (eV per cell): -41.72
Mass density (g cm⁻³): 5.26

Cell: 3.166 3.166 5.496 Å, 90.00 90.00 120.00°
Sites, in units of the cell vectors:
Cl1 0.000 0.000 0.974
Cu1 0.667 0.333 0.355
Cr1 0.333 0.667 0.671

=====

[9]
Density functional theory data (SCAN) for a crystal of SbOsRu2 relaxed with PBEsol.

D(E_F) (states/eV/f.u.): 3.13
V (A^3/atom): 15.10
Energy relative to the elements, uncorrected (kcal/mol of atoms): 7.84
Energy (eV per cell): -177.43
Mass density (g cm⁻³): 14.13

Cell: 2.887 4.707 4.744 Å, 99.60 90.00 107.85°
Sites, in units of the cell vectors:
Ru1 0.757 0.514 0.772
Os1 0.500 0.000 0.000
Ru2 0.243 0.486 0.228
Sb1 0.000 0.000 0.500

=====

[10]
Density functional theory data (SCAN) for a crystal of Ga2MoAsH relaxed with PBEsol.

D(E_F) (states/eV/f.u.): 2.64
V (A^3/atom): 16.80
Energy (eV per cell): -87.72
Mass density (g cm⁻³): 6.16

Cell: 3.467 4.922 4.922 Å, 90.00 90.00 90.00°
Sites, in units of the cell vectors:
H1 0.500 0.000 0.000
Ga1 0.000 0.000 0.500
Ga2 0.000 0.500 0.000
As1 0.500 0.500 0.500
Mo1 0.000 0.000 0.000

=====

[11]
Density functional theory data (SCAN) for a crystal of CuTcI2 relaxed with PBEsol.

D(E_F) (states/eV/f.u.): 1.48
V (A^3/atom): 19.04
Energy relative to the elements, uncorrected (kcal/mol of atoms): 23.71
Energy (eV per cell): -119.63
Mass density (g cm⁻³): 9.06

Cell: 4.758 4.758 4.758 Å, 60.00 60.00 60.00°
Sites, in units of the cell vectors:
I1 0.250 0.250 0.250
Tc1 0.500 0.500 0.500
Cu1 0.000 0.000 0.000
I2 0.750 0.750 0.750

=====

[12]
Density functional theory data (SCAN) for a crystal of YBeFe2 relaxed with PBEsol.

D(E_F) (states/eV/f.u.): 2.16
V (A^3/atom): 13.56
Formation energy (eV/atom): 0.398
Energy (eV per cell): -66.86
Mass density (g cm⁻³): 6.42

Cell: 3.898 3.582 3.885 Å, 90.00 90.00 90.00°
Sites, in units of the cell vectors:
Fe1 0.500 0.000 0.500
Be1 0.000 0.500 0.500
Fe2 0.000 0.000 0.000
Y1 0.500 0.500 0.000